--- i ---
CeTmAs2 (PBE, optimized geometry); total magnetic moment = 0.84 μB/f.u.; space-group type = P-3m1, No. 164
1.0
4.106 0.000 0.000
-2.053 3.556 0.000
0.000 0.000 7.179
Ce Tm As
1 1 2
Direct
0.000 0.000 0.000 Ce
0.000 0.000 0.500 Tm
0.333 0.667 0.740 As
0.667 0.333 0.260 As



--- ii ---
CeTmAs2 (PBE, optimized geometry); total magnetic moment = 0.60 μB/f.u.; space-group type = P6_3/mmc, No. 194
1.0
4.130 0.000 0.000
-2.065 3.577 0.000
0.000 0.000 13.552
Ce Tm As
2 2 4
Direct
0.000 0.000 0.000 Ce
0.000 0.000 0.500 Ce
0.333 0.667 0.250 Tm
0.667 0.333 0.750 Tm
0.333 0.667 0.627 As
0.333 0.667 0.873 As
0.667 0.333 0.127 As
0.667 0.333 0.373 As



Which one is most stable, and which one is least stable? ii is the most stable of them, while i is the least stable.



--- i ---
CeYAs2 (PBE, optimized geometry); total magnetic moment = 0.82 μB/f.u.; space-group type = R3m, No. 160
1.0
4.142 0.000 0.000
-2.071 3.587 0.000
0.000 0.000 21.244
Ce Y As
3 3 6
Direct
0.000 0.000 0.000 Ce
0.333 0.667 0.667 Ce
0.667 0.333 0.333 Ce
0.000 0.000 0.827 Y
0.333 0.667 0.494 Y
0.667 0.333 0.161 Y
0.000 0.000 0.414 As
0.000 0.000 0.580 As
0.333 0.667 0.081 As
0.333 0.667 0.247 As
0.667 0.333 0.747 As
0.667 0.333 0.914 As



--- ii ---
CeYAs2 (PBE, optimized geometry); total magnetic moment = 0.61 μB/f.u.; space-group type = P6_3/mmc, No. 194
1.0
4.162 0.000 0.000
-2.081 3.604 0.000
0.000 0.000 13.648
Ce Y As
2 2 4
Direct
0.000 0.000 0.000 Ce
0.000 0.000 0.500 Ce
0.333 0.667 0.250 Y
0.667 0.333 0.750 Y
0.333 0.667 0.624 As
0.333 0.667 0.876 As
0.667 0.333 0.124 As
0.667 0.333 0.376 As



Which one is most stable, and which one is least stable? ii is the most stable of them, while i is the least stable.



--- i ---
AsCl2 (PBE, optimized geometry); total magnetic moment = 0.00 μB/f.u.; space-group type = P-3m1, No. 164
1.0
4.148 0.000 0.000
-2.074 3.592 0.000
0.000 0.000 5.890
As Cl
1 2
Direct
0.000 0.000 0.000 As
0.333 0.667 0.797 Cl
0.667 0.333 0.203 Cl



--- ii ---
AsCl2 (PBE, optimized geometry); total magnetic moment = 0.00 μB/f.u.; space-group type = Pnma, No. 62
1.0
8.993 0.000 0.000
0.000 3.456 0.000
0.000 0.000 12.245
As Cl
4 8
Direct
0.106 0.250 0.073 As
0.394 0.750 0.573 As
0.606 0.250 0.427 As
0.894 0.750 0.927 As
0.014 0.750 0.207 Cl
0.218 0.250 0.497 Cl
0.282 0.750 0.997 Cl
0.486 0.250 0.707 Cl
0.514 0.750 0.293 Cl
0.718 0.250 0.003 Cl
0.782 0.750 0.503 Cl
0.986 0.250 0.793 Cl



Which one is most stable, and which one is least stable? ii is the most stable of them, while i is the least stable.



--- i ---
AsCl2 (PBE, optimized geometry); total magnetic moment = 0.71 μB/f.u.; space-group type = Fmmm, No. 69
1.0
3.607 0.000 0.000
0.000 7.549 0.000
0.000 0.000 14.651
As Cl
4 8
Direct
0.000 0.000 0.000 As
0.000 0.500 0.500 As
0.500 0.000 0.500 As
0.500 0.500 0.000 As
0.000 0.000 0.381 Cl
0.000 0.000 0.619 Cl
0.000 0.500 0.119 Cl
0.000 0.500 0.881 Cl
0.500 0.000 0.119 Cl
0.500 0.000 0.881 Cl
0.500 0.500 0.381 Cl
0.500 0.500 0.619 Cl



--- ii ---
AsCl2 (PBE, optimized geometry); total magnetic moment = 0.00 μB/f.u.; space-group type = Immm, No. 71
1.0
3.268 0.000 0.000
0.000 7.115 0.000
0.000 0.000 8.104
As Cl
2 4
Direct
0.000 0.000 0.000 As
0.500 0.500 0.500 As
0.000 0.000 0.283 Cl
0.000 0.000 0.717 Cl
0.500 0.500 0.217 Cl
0.500 0.500 0.783 Cl



--- iii ---
AsCl2 (PBE, optimized geometry); total magnetic moment = 0.00 μB/f.u.; space-group type = P6_3/mmc, No. 194
1.0
3.413 0.000 0.000
-1.706 2.956 0.000
0.000 0.000 14.610
As Cl
2 4
Direct
0.000 0.000 0.250 As
0.000 0.000 0.750 As
0.333 0.667 0.124 Cl
0.333 0.667 0.376 Cl
0.667 0.333 0.624 Cl
0.667 0.333 0.876 Cl



--- iv ---
AsCl2 (PBE, optimized geometry); total magnetic moment = 0.00 μB/f.u.; space-group type = I4/mmm, No. 139
1.0
3.211 0.000 0.000
0.000 3.211 0.000
0.000 0.000 14.206
As Cl
2 4
Direct
0.000 0.000 0.000 As
0.500 0.500 0.500 As
0.000 0.000 0.381 Cl
0.000 0.000 0.619 Cl
0.500 0.500 0.119 Cl
0.500 0.500 0.881 Cl



Which one is most stable, and which one is least stable? i is the most stable of them, while iv is the least stable.



--- i ---
As5Cl (PBE, optimized geometry); total magnetic moment = 0.00 μB/f.u.; space-group type = Amm2, No. 38
1.0
4.842 0.000 0.000
0.000 4.663 0.000
0.000 0.000 12.961
As Cl
10 2
Direct
0.000 0.000 0.000 As
0.000 0.000 0.202 As
0.000 0.000 0.598 As
0.000 0.500 0.098 As
0.000 0.500 0.500 As
0.000 0.500 0.702 As
0.500 0.000 0.089 As
0.500 0.000 0.691 As
0.500 0.500 0.191 As
0.500 0.500 0.589 As
0.500 0.000 0.377 Cl
0.500 0.500 0.877 Cl



--- ii ---
As5Cl (PBE, optimized geometry); total magnetic moment = 0.00 μB/f.u.; space-group type = P6/mmm, No. 191
1.0
5.316 0.000 0.000
-2.658 4.604 0.000
0.000 0.000 5.216
As Cl
5 1
Direct
0.000 0.500 0.000 As
0.333 0.667 0.500 As
0.500 0.000 0.000 As
0.500 0.500 0.000 As
0.667 0.333 0.500 As
0.000 0.000 0.500 Cl



--- iii ---
As5Cl (PBE, optimized geometry); total magnetic moment = 0.00 μB/f.u.; space-group type = Cmmm, No. 65
1.0
3.781 0.000 0.000
0.000 12.734 0.000
0.000 0.000 5.374
As Cl
10 2
Direct
0.000 0.000 0.000 As
0.000 0.314 0.500 As
0.000 0.338 0.000 As
0.000 0.662 0.000 As
0.000 0.686 0.500 As
0.500 0.162 0.000 As
0.500 0.186 0.500 As
0.500 0.500 0.000 As
0.500 0.814 0.500 As
0.500 0.838 0.000 As
0.000 0.000 0.500 Cl
0.500 0.500 0.500 Cl



Which one is most stable, and which one is least stable? iii is the most stable of them, while ii is the least stable.



--- i ---
As5Cl (PBE, optimized geometry); total magnetic moment = 0.00 μB/f.u.; space-group type = P4/mmm, No. 123
1.0
3.410 0.000 0.000
0.000 3.410 0.000
0.000 0.000 10.467
As Cl
5 1
Direct
0.000 0.000 0.000 As
0.000 0.000 0.297 As
0.000 0.000 0.703 As
0.500 0.500 0.178 As
0.500 0.500 0.822 As
0.500 0.500 0.500 Cl



--- ii ---
As5Cl (PBE, optimized geometry); total magnetic moment = 0.78 μB/f.u.; space-group type = F-43m, No. 216
1.0
0.000 4.087 4.087
4.087 0.000 4.087
4.087 4.087 0.000
As Cl
5 1
Direct
0.000 0.000 0.000 As
0.173 0.609 0.609 As
0.609 0.173 0.609 As
0.609 0.609 0.173 As
0.609 0.609 0.609 As
0.250 0.250 0.250 Cl



--- iii ---
As5Cl (PBE, optimized geometry); total magnetic moment = 0.00 μB/f.u.; space-group type = Cm, No. 8
1.0
7.321 0.000 0.000
0.000 3.585 0.000
-2.671 0.000 11.505
As Cl
10 2
Direct
0.000 0.000 0.000 As
0.044 0.500 0.458 As
0.166 0.500 0.882 As
0.244 0.000 0.731 As
0.442 0.500 0.584 As
0.500 0.500 0.000 As
0.544 0.000 0.458 As
0.666 0.000 0.882 As
0.744 0.500 0.731 As
0.942 0.000 0.584 As
0.299 0.000 0.303 Cl
0.799 0.500 0.303 Cl



Which one is most stable, and which one is least stable? iii is the most stable of them, while ii is the least stable.



--- i ---
As3Cl5 (PBE, optimized geometry); total magnetic moment = 0.00 μB/f.u.; space-group type = P6_3/mcm, No. 193
1.0
9.001 0.000 0.000
-4.500 7.795 0.000
0.000 0.000 6.014
As Cl
6 10
Direct
0.000 0.495 0.250 As
0.000 0.505 0.750 As
0.495 0.000 0.250 As
0.495 0.495 0.750 As
0.505 0.000 0.750 As
0.505 0.505 0.250 As
0.000 0.252 0.250 Cl
0.000 0.748 0.750 Cl
0.252 0.000 0.250 Cl
0.252 0.252 0.750 Cl
0.333 0.667 0.000 Cl
0.333 0.667 0.500 Cl
0.667 0.333 0.000 Cl
0.667 0.333 0.500 Cl
0.748 0.000 0.750 Cl
0.748 0.748 0.250 Cl



--- ii ---
As3Cl5 (PBE, optimized geometry); total magnetic moment = 0.53 μB/f.u.; space-group type = Cmmm, No. 65
1.0
8.809 0.000 0.000
0.000 11.904 0.000
0.000 0.000 3.467
As Cl
6 10
Direct
0.000 0.000 0.000 As
0.000 0.315 0.500 As
0.000 0.685 0.500 As
0.500 0.185 0.500 As
0.500 0.500 0.000 As
0.500 0.815 0.500 As
0.000 0.500 0.000 Cl
0.197 0.000 0.500 Cl
0.250 0.250 0.000 Cl
0.250 0.750 0.000 Cl
0.303 0.500 0.500 Cl
0.500 0.000 0.000 Cl
0.697 0.500 0.500 Cl
0.750 0.250 0.000 Cl
0.750 0.750 0.000 Cl
0.803 0.000 0.500 Cl



Which one is most stable, and which one is least stable? i is the most stable of them, while ii is the least stable.



--- i ---
As4Cl5 (PBE, optimized geometry); total magnetic moment = 1.71 μB/f.u.; space-group type = I4/mmm, No. 139
1.0
-5.271 5.271 1.733
5.271 -5.271 1.733
5.271 5.271 -1.733
As Cl
4 5
Direct
0.000 0.358 0.358 As
0.000 0.642 0.642 As
0.358 0.000 0.358 As
0.642 0.000 0.642 As
0.000 0.000 0.000 Cl
0.337 0.337 0.673 Cl
0.337 0.663 0.000 Cl
0.663 0.337 0.000 Cl
0.663 0.663 0.327 Cl



--- ii ---
As4Cl5 (PBE, optimized geometry); total magnetic moment = 0.35 μB/f.u.; space-group type = P6_3/mcm, No. 193
1.0
12.108 0.000 0.000
-6.054 10.486 0.000
0.000 0.000 4.973
As Cl
8 10
Direct
0.000 0.000 0.000 As
0.000 0.000 0.500 As
0.000 0.491 0.250 As
0.000 0.509 0.750 As
0.491 0.000 0.250 As
0.491 0.491 0.750 As
0.509 0.000 0.750 As
0.509 0.509 0.250 As
0.000 0.310 0.250 Cl
0.000 0.690 0.750 Cl
0.310 0.000 0.250 Cl
0.310 0.310 0.750 Cl
0.333 0.667 0.000 Cl
0.333 0.667 0.500 Cl
0.667 0.333 0.000 Cl
0.667 0.333 0.500 Cl
0.690 0.000 0.750 Cl
0.690 0.690 0.250 Cl



Which one is most stable, and which one is least stable? ii is the most stable of them, while i is the least stable.



--- i ---
CoAsCl2 (PBE, optimized geometry); total magnetic moment = 1.09 μB/f.u.; space-group type = Cmmm, No. 65
1.0
3.025 0.000 0.000
0.000 5.904 0.000
0.000 0.000 11.022
Co As Cl
2 2 4
Direct
0.000 0.000 0.000 Co
0.500 0.500 0.000 Co
0.000 0.000 0.500 As
0.500 0.500 0.500 As
0.000 0.500 0.143 Cl
0.000 0.500 0.857 Cl
0.500 0.000 0.143 Cl
0.500 0.000 0.857 Cl



--- ii ---
CoAsCl2 (PBE, optimized geometry); total magnetic moment = 2.00 μB/f.u.; space-group type = Imm2, No. 44
1.0
3.140 0.000 0.000
0.000 5.001 0.000
0.000 0.000 13.514
Co As Cl
2 2 4
Direct
0.000 0.000 0.000 Co
0.500 0.500 0.500 Co
0.000 0.500 0.637 As
0.500 0.000 0.137 As
0.000 0.000 0.597 Cl
0.000 0.500 0.380 Cl
0.500 0.000 0.880 Cl
0.500 0.500 0.097 Cl



--- iii ---
CoAsCl2 (PBE, optimized geometry); total magnetic moment = 0.08 μB/f.u.; space-group type = R3m, No. 160
1.0
3.456 0.000 0.000
-1.728 2.993 0.000
0.000 0.000 24.280
Co As Cl
3 3 6
Direct
0.000 0.000 0.000 Co
0.333 0.667 0.667 Co
0.667 0.333 0.333 Co
0.000 0.000 0.712 As
0.333 0.667 0.379 As
0.667 0.333 0.045 As
0.000 0.000 0.277 Cl
0.000 0.000 0.459 Cl
0.333 0.667 0.126 Cl
0.333 0.667 0.944 Cl
0.667 0.333 0.611 Cl
0.667 0.333 0.792 Cl



--- iv ---
CoAsCl2 (PBE, optimized geometry); total magnetic moment = 2.24 μB/f.u.; space-group type = C2/m, No. 12
1.0
5.916 0.000 0.000
0.000 7.659 0.000
-2.947 0.000 3.436
Co As Cl
2 2 4
Direct
0.000 0.000 0.000 Co
0.500 0.500 0.000 Co
0.000 0.500 0.000 As
0.500 0.000 0.000 As
0.250 0.250 0.500 Cl
0.250 0.750 0.500 Cl
0.750 0.250 0.500 Cl
0.750 0.750 0.500 Cl



Which one is most stable, and which one is least stable? iii is the most stable of them, while iv is the least stable.



--- i ---
CoAs2Cl (PBE, optimized geometry); total magnetic moment = 1.87 μB/f.u.; space-group type = Pmmm, No. 47
1.0
2.959 0.000 0.000
0.000 4.529 0.000
0.000 0.000 5.140
Co As Cl
1 2 1
Direct
0.000 0.000 0.000 Co
0.000 0.500 0.500 As
0.500 0.500 0.000 As
0.500 0.000 0.500 Cl



--- ii ---
CoAs2Cl (PBE, optimized geometry); total magnetic moment = 1.41 μB/f.u.; space-group type = Cmmm, No. 65
1.0
5.673 0.000 0.000
0.000 7.978 0.000
0.000 0.000 2.991
Co As Cl
2 4 2
Direct
0.000 0.000 0.000 Co
0.500 0.500 0.000 Co
0.250 0.250 0.500 As
0.250 0.750 0.500 As
0.750 0.250 0.500 As
0.750 0.750 0.500 As
0.000 0.500 0.000 Cl
0.500 0.000 0.000 Cl



--- iii ---
CoAs2Cl (PBE, optimized geometry); total magnetic moment = 0.00 μB/f.u.; space-group type = Cmmm, No. 65
1.0
4.588 0.000 0.000
0.000 9.533 0.000
0.000 0.000 3.228
Co As Cl
2 4 2
Direct
0.000 0.000 0.000 Co
0.500 0.500 0.000 Co
0.000 0.182 0.500 As
0.000 0.818 0.500 As
0.500 0.318 0.500 As
0.500 0.682 0.500 As
0.000 0.500 0.000 Cl
0.500 0.000 0.000 Cl



Which one is most stable, and which one is least stable? iii is the most stable of them, while ii is the least stable.